TcBi2Sb: relaxed, PBE.

Space-group type ... No. 216
Final energy ... -4.9781 eV per atom

Cell: 5.124 5.124 5.124 Å, 60.00 60.00 60.00°
Positions (direct):
Bi: 0.500 0.500 0.500
Bi: 0.250 0.250 0.250
Sb: 0.750 0.750 0.750
Tc: 0.000 0.000 0.000